1.
An optimized crystal structure of NbAlW3. Source: Alexandria via LeMat-Bulk, functional PBE.

Cell: 4.5277 4.5277 4.5277 Å, 90.00 90.00 90.00°
Closest atoms and distances in Å follow each position.
Fractional coordinates of all 5 atoms:
Nb (0.0000, 0.0000, 0.0000)  12 W 3.20
Al (0.5000, 0.5000, 0.5000)  6 W 2.26
W (0.0000, 0.5000, 0.5000)  2 Al 2.26
W (0.5000, 0.0000, 0.5000)  2 Al 2.26
W (0.5000, 0.5000, 0.0000)  2 Al 2.26

Summary:
Calculated density in g/cm³: 12.01
Density of states at the Fermi level in states/eV/cell: 5.347
Energy of formation in eV/atom: 1.61

---

2.
An optimized crystal structure of LaNb3Pd. Source: Alexandria via LeMat-Bulk, functional PBE.

Cell: 4.9864 4.9864 4.9864 Å, 90.00 90.00 90.00°
Closest atoms and distances in Å follow each position.
Fractional coordinates of all 5 atoms:
La (0.0000, 0.0000, 0.0000)  12 Nb 3.53
Nb (0.0000, 0.5000, 0.5000)  2 Pd 2.49
Nb (0.5000, 0.0000, 0.5000)  2 Pd 2.49
Nb (0.5000, 0.5000, 0.0000)  2 Pd 2.49
Pd (0.5000, 0.5000, 0.5000)  6 Nb 2.49

Summary:
Calculated density in g/cm³: 7.02
Density of states at the Fermi level in states/eV/cell: 5.406
Energy of formation in eV/atom: 0.92

---

3.
An optimized crystal structure of NbRuSe6. Source: Alexandria via LeMat-Bulk, functional PBE.

Cell: 5.9140 6.1808 6.2732 Å, 70.19 63.70 63.44°
Closest atoms and distances in Å follow each position.
Fractional coordinates of all 8 atoms:
Nb (0.0000, 0.0000, 0.0000)  6 Se 2.49-2.65
Ru (0.5000, 0.5000, 0.5000)  6 Se 2.49-2.50
Se (0.0410, 0.7448, 0.7424)  1 Ru 2.49, 1 Nb 2.49
Se (0.3157, 0.5803, 0.1799)  1 Se 2.46, 1 Ru 2.50, 1 Nb 2.65
Se (0.4127, 0.1072, 0.6725)  1 Ru 2.49, 1 Se 2.50, 1 Nb 2.59
Se (0.5873, 0.8928, 0.3275)  1 Ru 2.49, 1 Se 2.50, 1 Nb 2.59
Se (0.6843, 0.4197, 0.8201)  1 Se 2.46, 1 Ru 2.50, 1 Nb 2.65
Se (0.9590, 0.2552, 0.2576)  1 Ru 2.49, 1 Nb 2.49

Summary:
Calculated density in g/cm³: 6.13
Density of states at the Fermi level in states/eV/cell: 6.022
Raw formation energy in eV per atom: -0.242

---

4.
An optimized crystal structure of AlP2Se6. Source: Alexandria via LeMat-Bulk, functional PBE.

Cell: 8.2990 8.2990 7.5239 Å, 106.01 106.01 82.92°
Closest atoms and distances in Å follow each position.
Fractional coordinates of all 18 atoms:
Al (0.1027, 0.8973, 0.7500)  6 Se 2.49-2.74
Al (0.8973, 0.1027, 0.2500)  6 Se 2.49-2.74
P (0.2022, 0.3918, 0.7410)  4 Se 2.26-2.41
P (0.3918, 0.2022, 0.2410)  4 Se 2.26-2.41
P (0.6082, 0.7978, 0.7590)  4 Se 2.26-2.41
P (0.7978, 0.6082, 0.2590)  4 Se 2.26-2.41
Se (0.0113, 0.1893, 0.6363)  1 P 2.28
Se (0.0364, 0.6279, 0.7916)  1 P 2.26, 1 Al 2.49
Se (0.1893, 0.0113, 0.1363)  1 P 2.28
Se (0.3652, 0.3854, 0.0581)  2 P 2.27-2.41
Se (0.3721, 0.9636, 0.7084)  1 P 2.26, 1 Al 2.49
Se (0.3854, 0.3652, 0.5581)  2 P 2.27-2.41
Se (0.6146, 0.6348, 0.4419)  2 P 2.27-2.41
Se (0.6279, 0.0364, 0.2916)  1 P 2.26, 1 Al 2.49
Se (0.6348, 0.6146, 0.9419)  2 P 2.27-2.41
Se (0.8107, 0.9887, 0.8637)  1 P 2.28
Se (0.9636, 0.3721, 0.2084)  1 P 2.26, 1 Al 2.49
Se (0.9887, 0.8107, 0.3637)  1 P 2.28

Summary:
Calculated density in g/cm³: 3.91
Density of states at the Fermi level in states/eV/cell: 2.377
Raw formation energy in eV per atom: -0.109

---

5.
An optimized crystal structure of NaCaBePd2. Source: Alexandria via LeMat-Bulk, functional PBE.

Cell: 4.9504 4.9504 5.2531 Å, 90.00 90.00 90.00°
Closest atoms and distances in Å follow each position.
Fractional coordinates of all 5 atoms:
Na (0.0000, 0.0000, 0.0000)  2 Ca 2.63
Ca (0.0000, 0.0000, 0.5000)  4 Pd 2.48, 2 Na 2.63
Be (0.5000, 0.5000, 0.0000)  4 Na 3.50, 8 Pd 3.61
Pd (0.0000, 0.5000, 0.5000)  2 Ca 2.48
Pd (0.5000, 0.0000, 0.5000)  2 Ca 2.48

Summary:
Calculated density in g/cm³: 3.68
Density of states at the Fermi level in states/eV/cell: 2.242
Energy of formation in eV/atom: 1.03

---

6.
An optimized crystal structure of AcHoIO6. Source: Alexandria via LeMat-Bulk, functional PBE.

Cell: 5.6764 5.6764 5.2816 Å, 90.00 90.00 120.00°
Closest atoms and distances in Å follow each position.
Fractional coordinates of all 9 atoms:
Ac (0.0000, 0.0000, 0.0000)  6 O 2.56
Ho (0.3333, 0.6667, 0.5000)  6 O 2.26
I (0.6667, 0.3333, 0.5000)  6 O 2.02
O (0.3789, 0.0312, 0.7150)  1 I 2.02, 1 Ho 2.26
O (0.3789, 0.3477, 0.2850)  1 I 2.02, 1 Ho 2.26
O (0.6523, 0.0312, 0.2850)  1 I 2.02, 1 Ho 2.26
O (0.6523, 0.6211, 0.7150)  1 I 2.02, 1 Ho 2.26
O (0.9688, 0.3477, 0.7150)  1 I 2.02, 1 Ho 2.26
O (0.9688, 0.6211, 0.2850)  1 I 2.02, 1 Ho 2.26

Summary:
Calculated density in g/cm³: 6.93
Density of states at the Fermi level in states/eV/cell: 3.544
Raw formation energy in eV per atom: -2.080

---

7.
An optimized crystal structure of K2Zn2Ag. Source: Alexandria via LeMat-Bulk, functional PBE.

Cell: 7.2059 7.2059 5.5733 Å, 90.00 90.00 90.00°
Closest atoms and distances in Å follow each position.
Fractional coordinates of all 10 atoms:
K (0.1835, 0.3165, 0.0000)  6 Zn 3.37-3.61, 5 K 3.73-3.74
K (0.3165, 0.8165, 0.0000)  6 Zn 3.37-3.61, 5 K 3.73-3.74
K (0.6835, 0.1835, 0.0000)  6 Zn 3.37-3.61, 5 K 3.73-3.74
K (0.8165, 0.6835, 0.0000)  6 Zn 3.37-3.61, 5 K 3.73-3.74
Zn (0.1309, 0.6309, 0.5000)  1 Zn 2.67, 2 Ag 2.82
Zn (0.3691, 0.1309, 0.5000)  1 Zn 2.67, 2 Ag 2.82
Zn (0.6309, 0.8691, 0.5000)  1 Zn 2.67, 2 Ag 2.82
Zn (0.8691, 0.3691, 0.5000)  1 Zn 2.67, 2 Ag 2.82
Ag (0.0000, 0.0000, 0.5000)  4 Zn 2.82
Ag (0.5000, 0.5000, 0.5000)  4 Zn 2.82

Summary:
Calculated density in g/cm³: 3.64
Density of states at the Fermi level in states/eV/cell: 4.427
Energy of formation in eV/atom: 0.11

---

8.
An optimized crystal structure of Fe2ReRu. Source: Alexandria via LeMat-Bulk, functional PBE.

Cell: 3.7145 3.7145 3.6069 Å, 90.00 90.00 90.00°
Closest atoms and distances in Å follow each position.
Fractional coordinates of all 4 atoms:
Fe (0.0000, 0.5000, 0.0000)  4 Ru 2.59, 4 Re 2.59, 4 Fe 2.63
Fe (0.5000, 0.0000, 0.0000)  4 Ru 2.59, 4 Re 2.59, 4 Fe 2.63
Re (0.0000, 0.0000, 0.5000)  8 Fe 2.59, 4 Ru 2.63
Ru (0.5000, 0.5000, 0.5000)  8 Fe 2.59, 4 Re 2.63

Summary:
Calculated density in g/cm³: 13.31
Density of states at the Fermi level in states/eV/cell: 4.647
Energy of formation in eV/atom: 0.10